(1)
Compound: BeVCo3
Source: Alexandria via LeMat-Bulk
Functional: PBE
Structure: relaxed

Excess energy over the best structure of this formula in the dataset: 1168 meV/atom
DOS at the Fermi energy: 2.77 states/eV/f.u.
ΔH_f (0 K): 1.25 eV per atom
Raw total energy: -5.58 eV per atom
Total magnetic moment: 0.0002 μB per atom
Symmetry: No. 221

Unit cell a=4.1431 b=4.1431 c=4.1431 alpha=90.00 beta=90.00 gamma=90.00
Element x y z (fractional)
Co (0.0000, 0.5000, 0.0000)
Co (0.0000, 0.0000, 0.5000)
Co (0.5000, 0.0000, 0.0000)
V (0.0000, 0.0000, 0.0000)
Be (0.5000, 0.5000, 0.5000)

***

(2)
Compound: Be2VCo3
Source: Alexandria via LeMat-Bulk
Functional: PBE
Structure: relaxed

DOS at the Fermi energy: 4.40 states/eV/f.u.
ΔH_f (0 K): -0.28 eV per atom
Raw total energy: -6.59 eV per atom
Total magnetic moment: 0.0000 μB per atom
Symmetry: No. 123

Unit cell a=2.7054 b=2.7054 c=8.0143 alpha=90.00 beta=90.00 gamma=90.00
Element x y z (fractional)
V (0.5000, 0.5000, 0.5000)
Co (0.0000, 0.0000, 0.0000)
Co (0.0000, 0.0000, 0.3142)
Co (0.0000, 0.0000, 0.6858)
Be (0.5000, 0.5000, 0.1485)
Be (0.5000, 0.5000, 0.8515)

***

(3)
Compound: BeV2Co4
Source: Alexandria via LeMat-Bulk
Functional: PBE
Structure: relaxed

Excess energy over the best structure of this formula in the dataset: 264 meV/atom
DOS at the Fermi energy: 7.54 states/eV/f.u.
ΔH_f (0 K): 0.44 eV per atom
Raw total energy: -6.76 eV per atom
Total magnetic moment: 0.0000 μB per atom
Symmetry: No. 139

Unit cell a=3.7507 b=3.7507 c=6.4272 alpha=73.04 beta=73.04 gamma=90.00
Element x y z (fractional)
V (0.6467, 0.6467, 0.7065)
V (0.3533, 0.3533, 0.2935)
Co (0.8269, 0.8269, 0.3461)
Co (0.1731, 0.1731, 0.6539)
Co (0.5000, 0.0000, 0.0000)
Co (0.0000, 0.5000, 0.0000)
Be (0.0000, 0.0000, 0.0000)

***

(4)
Compound: BeV2Co2
Source: Alexandria via LeMat-Bulk
Functional: PBE
Structure: relaxed

DOS at the Fermi energy: 3.03 states/eV/f.u.
ΔH_f (0 K): -0.01 eV per atom
Raw total energy: -7.25 eV per atom
Total magnetic moment: 0.0000 μB per atom
Symmetry: No. 127

Unit cell a=6.5083 b=6.5083 c=2.7817 alpha=90.00 beta=90.00 gamma=90.00
Element x y z (fractional)
V (0.8273, 0.3273, 0.5000)
V (0.6727, 0.8273, 0.5000)
V (0.1727, 0.6727, 0.5000)
V (0.3273, 0.1727, 0.5000)
Co (0.3683, 0.8683, 0.0000)
Co (0.6317, 0.1317, 0.0000)
Co (0.1317, 0.3683, 0.0000)
Co (0.8683, 0.6317, 0.0000)
Be (0.0000, 0.0000, 0.0000)
Be (0.5000, 0.5000, 0.0000)

***

(5)
Compound: BeV2Co3
Source: Alexandria via LeMat-Bulk
Functional: PBE
Structure: relaxed

DOS at the Fermi energy: 5.48 states/eV/f.u.
ΔH_f (0 K): -0.03 eV per atom
Raw total energy: -7.25 eV per atom
Total magnetic moment: 0.0899 μB per atom
Symmetry: No. 44

Unit cell a=2.5032 b=4.1685 c=6.8615 alpha=107.68 beta=100.51 gamma=90.00
Site moments in Bohr magnetons follow the coordinates.
Element x y z (fractional)
Co (0.0000, 0.6718, 0.0000)  0.48
Co (0.3552, 0.3332, 0.7104)  0.09
Co (0.6448, 0.6228, 0.2896)  0.09
V (0.1768, 0.1603, 0.3536)  -0.05
V (0.8232, 0.8068, 0.6464)  -0.05
Be (0.5000, 0.1481, 0.0000)  -0.01

***

(6)
Compound: Be16V2Co
Source: Alexandria via LeMat-Bulk
Functional: PBE
Structure: relaxed

DOS at the Fermi energy: 7.66 states/eV/f.u.
ΔH_f (0 K): -0.17 eV per atom
Raw total energy: -4.64 eV per atom
Total magnetic moment: 0.0001 μB per atom
Symmetry: No. 160

Unit cell a=5.4861 b=5.4861 c=5.4861 alpha=83.16 beta=83.16 gamma=83.16
Element x y z (fractional)
Be (0.6517, 0.1574, 0.6517)
Be (0.8377, 0.3507, 0.3507)
Be (0.9978, 0.7032, 0.2937)
Be (0.3507, 0.3507, 0.8377)
Be (0.2937, 0.9978, 0.7032)
Be (0.3507, 0.8377, 0.3507)
Be (0.9978, 0.2937, 0.7032)
Be (0.7032, 0.2937, 0.9978)
Be (0.7032, 0.9978, 0.2937)
Be (0.2937, 0.7032, 0.9978)
Be (0.0000, 0.5015, 0.0000)
Be (0.1574, 0.6517, 0.6517)
Be (0.0000, 0.0000, 0.5015)
Be (0.6517, 0.6517, 0.1574)
Be (0.5015, 0.0000, 0.0000)
Be (0.1046, 0.1046, 0.1046)
Co (0.9020, 0.9020, 0.9020)
V (0.3382, 0.3382, 0.3382)
V (0.6642, 0.6642, 0.6642)

***

(7)
Compound: BeVCo2
Source: Alexandria via LeMat-Bulk
Functional: PBE
Structure: relaxed

Excess energy over the best structure of this formula in the dataset: 32 meV/atom
DOS at the Fermi energy: 3.32 states/eV/f.u.
ΔH_f (0 K): -0.26 eV per atom
Raw total energy: -7.02 eV per atom
Total magnetic moment: 0.0003 μB per atom
Symmetry: No. 123

Unit cell a=2.6666 b=2.6666 c=5.7487 alpha=90.00 beta=90.00 gamma=90.00
Element x y z (fractional)
Co (0.0000, 0.0000, 0.7768)
Co (0.0000, 0.0000, 0.2232)
Be (0.5000, 0.5000, 0.0000)
V (0.5000, 0.5000, 0.5000)

***

(8)
Compound: BeVCo2
Source: Alexandria via LeMat-Bulk
Functional: PBE
Structure: relaxed

Excess energy over the best structure of this formula in the dataset: 95 meV/atom
DOS at the Fermi energy: 3.85 states/eV/f.u.
ΔH_f (0 K): -0.20 eV per atom
Raw total energy: -6.96 eV per atom
Total magnetic moment: 0.0811 μB per atom
Symmetry: No. 123

Unit cell a=2.8335 b=3.8342 c=3.8342 alpha=90.00 beta=90.00 gamma=90.00
Site moments in Bohr magnetons follow the coordinates.
Element x y z (fractional)
Co (0.0000, 0.0000, 0.5000)  0.12
Co (0.0000, 0.5000, 0.0000)  0.12
V (0.5000, 0.5000, 0.5000)  0.10
Be (0.5000, 0.0000, 0.0000)  0.00

***

(9)
Compound: Be9V2Co
Source: Alexandria via LeMat-Bulk
Functional: PBE
Structure: relaxed

DOS at the Fermi energy: 6.84 states/eV/f.u.
ΔH_f (0 K): -0.13 eV per atom
Raw total energy: -5.04 eV per atom
Total magnetic moment: 0.0556 μB per atom
Symmetry: No. 166

Unit cell a=4.2746 b=4.2746 c=7.2675 alpha=72.90 beta=72.90 gamma=60.00
Site moments in Bohr magnetons follow the coordinates.
Element x y z (fractional)
Be (0.3346, 0.3346, 0.9961)  0.00
Be (0.5000, 0.5000, 0.5000)  0.00
Be (0.9189, 0.4154, 0.2504)  0.00
Be (0.4154, 0.9189, 0.2504)  0.00
Be (0.5846, 0.5846, 0.7496)  0.00
Be (0.0811, 0.5846, 0.7496)  0.00
Be (0.6654, 0.6654, 0.0039)  0.00
Be (0.5846, 0.0811, 0.7496)  0.00
Be (0.4154, 0.4154, 0.2504)  0.00
V (0.8535, 0.8535, 0.4396)  0.05
V (0.1465, 0.1465, 0.5604)  0.05
Co (0.0000, 0.0000, 0.0000)  0.56

***

(10)
Compound: BeV2Co6
Source: Alexandria via LeMat-Bulk
Functional: PBE
Structure: relaxed

DOS at the Fermi energy: 8.55 states/eV/f.u.
ΔH_f (0 K): 0.03 eV per atom
Raw total energy: -7.15 eV per atom
Total magnetic moment: 0.3130 μB per atom
Symmetry: No. 164

Unit cell a=4.3297 b=5.1064 c=5.1064 alpha=60.00 beta=90.02 gamma=90.02
Site moments in Bohr magnetons follow the coordinates.
Element x y z (fractional)
Co (0.2861, 0.8240, 0.3526)  0.76
Co (0.7145, 0.1761, 0.1761)  0.76
Co (0.2855, 0.8239, 0.8239)  0.76
Co (0.2861, 0.3526, 0.8240)  0.76
Co (0.7139, 0.6474, 0.1760)  0.76
Co (0.7139, 0.1760, 0.6474)  0.76
V (0.7867, 0.6665, 0.6665)  -0.73
V (0.2133, 0.3335, 0.3335)  -0.73
Be (0.0000, 0.0000, 0.0000)  -0.05

***

(11)
Compound: BeVCo2
Source: Alexandria via LeMat-Bulk
Functional: PBE
Structure: relaxed

Excess energy over the best structure of this formula in the dataset: 582 meV/atom
DOS at the Fermi energy: 3.85 states/eV/f.u.
ΔH_f (0 K): 0.29 eV per atom
Raw total energy: -6.47 eV per atom
Total magnetic moment: 0.0002 μB per atom
Symmetry: No. 122

Unit cell a=5.9660 b=5.9660 c=4.8991 alpha=52.49 beta=52.49 gamma=90.00
Element x y z (fractional)
V (0.0000, 0.0000, 0.0000)
V (0.7500, 0.2500, 0.5000)
Co (0.6060, 0.1250, 0.2500)
Co (0.8750, 0.8560, 0.7500)
Co (0.3750, 0.3940, 0.7500)
Co (0.1440, 0.6250, 0.2500)
Be (0.2500, 0.7500, 0.5000)
Be (0.5000, 0.5000, 0.0000)

***

(12)
Compound: Be3VCo
Source: Alexandria via LeMat-Bulk
Functional: PBE
Structure: relaxed

DOS at the Fermi energy: 4.20 states/eV/f.u.
ΔH_f (0 K): 0.43 eV per atom
Raw total energy: -5.05 eV per atom
Total magnetic moment: 0.4794 μB per atom
Symmetry: No. 221

Unit cell a=3.8541 b=3.8541 c=3.8541 alpha=90.00 beta=90.00 gamma=90.00
Site moments in Bohr magnetons follow the coordinates.
Element x y z (fractional)
Be (0.0000, 0.0000, 0.5000)  -0.04
Be (0.0000, 0.5000, 0.0000)  -0.04
Be (0.5000, 0.0000, 0.0000)  -0.04
Co (0.0000, 0.0000, 0.0000)  0.26
V (0.5000, 0.5000, 0.5000)  2.01